Entry from Alexandria: a relaxed structure of ErScZn (PBE-GGA).

```
data_ErScZn
_symmetry_space_group_name_H-M 'P 3 m 1'
_symmetry_Int_Tables_number 156
_cell_length_a 4.8228
_cell_length_b 4.8228
_cell_length_c 3.4815
_cell_angle_alpha 90.00
_cell_angle_beta 90.00
_cell_angle_gamma 120.00
loop_
_symmetry_equiv_pos_as_xyz
'x,y,z'
'-y,x-y,z'
'-x+y,-x,z'
'-y,-x,z'
'-x+y,y,z'
'x,x-y,z'
loop_
_atom_site_label
_atom_site_fract_x
_atom_site_fract_y
_atom_site_fract_z
Er1 0.0000 0.0000 0.0000
Sc1 0.3333 0.6667 0.5287
Zn1 0.6667 0.3333 0.3993
```

Computed properties:
formation energy = -0.075 eV per atom